! PBE Rb2HgC4N4, optimized geometry; values from VASP
&SYSTEM
  ibrav = 0, nat = 44, ntyp = 4
/
ATOMIC_SPECIES
Rb 85.47 Rb.upf
Hg 200.59 Hg.upf
C 12.01 C.upf
N 14.01 N.upf
CELL_PARAMETERS angstrom
4.519 2.609 15.207
-4.519 2.609 15.207
0.000 -5.218 15.207
ATOMIC_POSITIONS crystal
Rb 0.000 0.000 0.000
Rb 0.185 0.750 0.315
Rb 0.250 0.685 0.815
Rb 0.315 0.185 0.750
Rb 0.500 0.500 0.500
Rb 0.685 0.815 0.250
Rb 0.750 0.315 0.185
Rb 0.815 0.250 0.685
Hg 0.188 0.188 0.188
Hg 0.312 0.312 0.312
Hg 0.688 0.688 0.688
Hg 0.812 0.812 0.812
C 0.058 0.623 0.709
C 0.123 0.558 0.209
C 0.140 0.140 0.140
C 0.209 0.123 0.558
C 0.291 0.942 0.377
C 0.360 0.360 0.360
C 0.377 0.291 0.942
C 0.442 0.791 0.877
C 0.558 0.209 0.123
C 0.623 0.709 0.058
C 0.640 0.640 0.640
C 0.709 0.058 0.623
C 0.791 0.877 0.442
C 0.860 0.860 0.860
C 0.877 0.442 0.791
C 0.942 0.377 0.291
N 0.026 0.689 0.149
N 0.114 0.114 0.114
N 0.149 0.026 0.689
N 0.189 0.526 0.649
N 0.311 0.851 0.974
N 0.351 0.811 0.474
N 0.386 0.386 0.386
N 0.474 0.351 0.811
N 0.526 0.649 0.189
N 0.614 0.614 0.614
N 0.649 0.189 0.526
N 0.689 0.149 0.026
N 0.811 0.474 0.351
N 0.851 0.974 0.311
N 0.886 0.886 0.886
N 0.974 0.311 0.851
! Calculated total energy   -287.83 eV for the cell shown